This record from Alexandria via LeMat-Bulk describes a relaxed structure of CdRuPb2. The functional is GGA-PBE.

```
data_CdRuPb2
_symmetry_space_group_name_H-M 'I m m 2'
_symmetry_Int_Tables_number 44
_cell_length_a 3.1610
_cell_length_b 4.5653
_cell_length_c 13.6239
_cell_angle_alpha 90.00
_cell_angle_beta 90.00
_cell_angle_gamma 90.00
loop_
_symmetry_equiv_pos_as_xyz
'x,y,z'
'-x,-y,z'
'-x,y,z'
'x,-y,z'
'x+1/2,y+1/2,z+1/2'
'-x+1/2,-y+1/2,z+1/2'
'-x+1/2,y+1/2,z+1/2'
'x+1/2,-y+1/2,z+1/2'
loop_
_atom_site_label
_atom_site_fract_x
_atom_site_fract_y
_atom_site_fract_z
Cd1 0.0000 0.0000 0.0000
Ru1 0.0000 0.5000 0.3216
Pb1 0.0000 0.0000 0.6356
Pb2 0.0000 0.5000 0.8254
```

volume = 24.58 Å³ per atom
density of states at the Fermi level = 4.88 states/eV/cell
energy = -16.6 eV per formula unit
E_form = 0.260 eV/atom